# 1
PBE-GGA RbLiSbS2, optimized geometry; SG = No. 51; volume = 25.6 A^3/atom; VASP energy = -3.79 eV per atom
1.0
8.360 0.000 0.000
0.000 7.654 0.000
0.000 0.000 3.994
Rb Li Sb S
2 2 2 4
Cartesian
2.090 0.000 0.005
6.270 0.000 3.990
0.000 3.827 0.000
4.180 3.827 0.000
2.090 3.827 1.997
6.270 3.827 1.997
0.000 2.047 1.997
0.000 5.607 1.997
4.180 2.047 1.997
4.180 5.607 1.997


# 2
PBE-GGA BaMgW2, optimized geometry; SG = No. 123; energy of formation = 1.47 eV per atom; volume = 21.9 A^3/atom; VASP energy = -5.89 eV per atom
1.0
4.123 0.000 0.000
0.000 4.123 0.000
0.000 0.000 5.147
Ba Mg W
1 1 2
Cartesian
0.000 0.000 0.000
2.061 2.061 0.000
0.000 2.061 2.573
2.061 0.000 2.573


# 3
PBE-GGA Pu2TlOs, optimized geometry; SG = No. 166; distance to the lowest polymorph of the same formula = 9.295 kcal/mol of atoms; energy of formation = 0.32 eV per atom; volume = 25.3 A^3/atom; VASP energy = -10.24 eV per atom
1.0
1.642 0.948 10.838
-1.642 0.948 10.838
0.000 -1.897 10.838
Pu Tl Os
2 1 1
Cartesian
0.000 0.000 3.304
0.000 0.000 29.210
0.000 0.000 0.000
0.000 0.000 16.257


# 4
PBE-GGA Ca2NF, optimized geometry; SG = No. 122; volume = 19.5 A^3/atom; VASP energy = -5.43 eV per atom
1.0
-2.641 2.641 5.600
2.641 -2.641 5.600
2.641 2.641 -5.600
Ca N F
4 2 2
Cartesian
3.962 1.209 -1.400
1.209 1.321 1.400
-1.321 1.432 4.200
1.432 1.321 7.000
0.000 0.000 0.000
0.000 2.641 2.800
2.641 0.000 2.800
0.000 0.000 5.600


Please write out number 1 again, unchanged.
PBE-GGA RbLiSbS2, optimized geometry; SG = No. 51; volume = 25.6 A^3/atom; VASP energy = -3.79 eV per atom
1.0
8.360 0.000 0.000
0.000 7.654 0.000
0.000 0.000 3.994
Rb Li Sb S
2 2 2 4
Cartesian
2.090 0.000 0.005
6.270 0.000 3.990
0.000 3.827 0.000
4.180 3.827 0.000
2.090 3.827 1.997
6.270 3.827 1.997
0.000 2.047 1.997
0.000 5.607 1.997
4.180 2.047 1.997
4.180 5.607 1.997


Among the records above, which one has the highest volume?
RbLiSbS2


Which value of VASP energy does entry 4 give?
-5.43 eV per atom


What did the fourth record say?
PBE-GGA Ca2NF, optimized geometry; SG = No. 122; volume = 19.5 A^3/atom; VASP energy = -5.43 eV per atom
1.0
-2.641 2.641 5.600
2.641 -2.641 5.600
2.641 2.641 -5.600
Ca N F
4 2 2
Cartesian
3.962 1.209 -1.400
1.209 1.321 1.400
-1.321 1.432 4.200
1.432 1.321 7.000
0.000 0.000 0.000
0.000 2.641 2.800
2.641 0.000 2.800
0.000 0.000 5.600